No. 1
# La2TbTe2Se2 GGA-PBE optimized geometry
# E_tot in eV/atom: -5.469
# Spin magnetization in Bohr magnetons per cell: 1.060
# Mass density in Mg/m³: 6.08
data_La2TbTe2Se2
_symmetry_space_group_name_H-M 'I 4/m m m'
_symmetry_Int_Tables_number 139
_symmetry_space_group_name_Hall '-I 4 2'
_cell_length_a 5.347
_cell_length_b 5.347
_cell_length_c 16.229
_cell_angle_alpha 90.00
_cell_angle_beta 90.00
_cell_angle_gamma 90.00
loop_
_atom_site_label
_atom_site_fract_x
_atom_site_fract_y
_atom_site_fract_z
_atom_site_occupancy
La1 0.000 0.000 0.119 1
Tb1 0.000 0.000 0.500 1
Te1 0.000 0.000 0.314 1
Se1 0.000 0.500 0.000 1

***

No. 2
# Tm4TlPb GGA-PBE optimized geometry
# Relative energy among the computed polymorphs in kJ/mol of formula units: 0.0
# Energy relative to the elements in eV per atom: -0.206
# Spin magnetization in Bohr magnetons per cell: 0.002
# Mass density in Mg/m³: 10.34
data_Tm4TlPb
_symmetry_space_group_name_H-M 'C 1 2/c 1'
_symmetry_Int_Tables_number 15
_cell_length_a 8.994
_cell_length_b 13.721
_cell_length_c 6.291
_cell_angle_alpha 90.00
_cell_angle_beta 115.93
_cell_angle_gamma 90.00
loop_
_symmetry_equiv_pos_as_xyz
'x,y,z'
'-x,-y,-z'
'-x,y,-z+1/2'
'x,-y,z+1/2'
'x+1/2,y+1/2,z'
'-x+1/2,-y+1/2,-z'
'-x+1/2,y+1/2,-z+1/2'
'x+1/2,-y+1/2,z+1/2'
loop_
_atom_site_label
_atom_site_fract_x
_atom_site_fract_y
_atom_site_fract_z
_atom_site_occupancy
Tm1 0.110 0.189 0.074 1
Tm2 0.200 0.417 0.320 1
Tl1 0.000 0.001 0.750 1
Pb1 0.000 0.380 0.750 1

***

No. 3
# AgRu2Au GGA-PBE optimized geometry
# Relative energy among the computed polymorphs in kJ/mol of formula units: 10.8
# Energy relative to the elements in eV per atom: 0.241
# Spin magnetization in Bohr magnetons per cell: 0.000
# Mass density in Mg/m³: 13.15
data_AgRu2Au
_symmetry_space_group_name_H-M 'R 3 m'
_symmetry_Int_Tables_number 160
_symmetry_space_group_name_Hall 'R 3 -2"'
_cell_length_a 2.8108
_cell_length_b 2.8108
_cell_length_c 28.0626
_cell_angle_alpha 90.00
_cell_angle_beta 90.00
_cell_angle_gamma 120.00
loop_
_atom_site_label
_atom_site_fract_x
_atom_site_fract_y
_atom_site_fract_z
_atom_site_occupancy
Ag1 0.0000 0.0000 0.0000 1
Ru1 0.0000 0.0000 0.4899 1
Ru2 0.0000 0.0000 0.7535 1
Au1 0.0000 0.0000 0.2436 1